Here is a relaxed structure of BaHgPt from the Alexandria database. Energies are from PBE.

Properties
E_form = -422 meV/atom
DFT total energy = -3.1775 eV per atom

a b c (Å): 6.2056 6.2058 3.8380
angles (deg): 71.98 71.99 36.03
Element x y z (fractional)
Hg  0.3017  0.3017  0.6983
Ba  0.0096  0.0096  0.9904
Pt  0.6887  0.6887  0.3113

---

Here is a relaxed structure of Y2ErTm from the Alexandria database. Energies are from PBE.

Properties
E_form = 26 meV/atom
Energy above the most stable polymorph in this dataset = 0.10 eV per formula unit
DFT total energy = -5.4646 eV per atom

a b c (Å): 3.5271 4.9968 7.0764
angles (deg): 90.00 90.00 90.00
Element x y z (fractional)
Y  0.5000  0.5000  0.2518
Y  0.0000  0.0000  0.9979
Er  0.0000  0.0000  0.5020
Tm  0.5000  0.5000  0.7483

---

Here is a relaxed structure of AlVTe2 from the Alexandria database. Energies are from PBE.

Properties
Formation energy without anion corrections = 264 meV per atom
DFT total energy = -4.5220 eV per atom

a b c (Å): 8.8185 8.8185 8.8185
angles (deg): 26.17 26.17 26.17
Last column: magnetic moment on the atom in μB.
Element x y z (fractional)
Te  0.1052  0.1052  0.1052  -0.04
V  0.0000  0.0000  0.0000  2.97
Te  0.8948  0.8948  0.8948  -0.04
Al  0.5000  0.5000  0.5000  0.04

---

Here is a relaxed structure of PrDyTmTh from the Alexandria database. Energies are from PBE.

Properties
E_form = 17 meV/atom
Energy above the most stable polymorph in this dataset = 0.00 eV per formula unit
DFT total energy = -5.3013 eV per atom

a b c (Å): 3.5959 3.5952 11.7557
angles (deg): 90.01 98.81 119.99
Element x y z (fractional)
Dy  0.4757  0.1355  0.6265
Tm  0.1307  0.9635  0.1086
Pr  0.9685  0.3826  0.3663
Th  0.3031  0.5493  0.8682